# 1
Density functional theory data (SCAN) for a PBEsol-optimized structure of MgHS2.

Cell lengths 5.6994, 5.6994, 6.9951 Å; angles 90.00, 90.00, 90.00 degrees
With the nearest neighbours (Å) after each atom.
Space group I-42d (No. 122)
Unique sites:
Mg (0.0000, 0.0000, 0.0000) x4  4 S 2.53
H (0.0000, 0.0000, 0.5000) x4  4 S 1.92
S (0.1673, 0.7500, 0.6250) x8  2 H 1.92

The value obtained for the volume is 227.2 Å³/cell. As for the raw total energy: -7.079 eV/atom. Its calculated density is 2.6 g/cm³. The calculation puts the density of states at the Fermi level at 8.92 states/eV/cell. The calculation puts the total magnetization at 0.0 μB/f.u.


# 2
Density functional theory data (SCAN) for a PBEsol-optimized structure of InFeCu2Se4.

Cell lengths 5.6484, 5.6484, 11.0510 Å; angles 90.00, 90.00, 90.00 degrees
With the nearest neighbours (Å) after each atom.
Space group I-42m (No. 121)
Unique sites:
In (0.0000, 0.0000, 0.0000) x2  4 Se 2.62
Fe (0.0000, 0.0000, 0.5000) x2  4 Se 2.36
Cu (0.0000, 0.5000, 0.2500) x4  4 Se 2.38
Se (0.2301, 0.2301, 0.3661) x8  1 Fe 2.36, 2 Cu 2.38, 1 In 2.62

The value obtained for the volume is 352.6 Å³/cell. As for the formation energy without anion corrections: -0.383 eV per atom. Its calculated density is 5.8 g/cm³. The calculation puts the density of states at the Fermi level at 4.42 states/eV/cell. The calculation puts the total magnetization at 4.5 μB/f.u.


# 3
Density functional theory data (SCAN) for a PBEsol-optimized structure of LiHgAu2.

Cell lengths 3.4797, 3.4797, 5.7175 Å; angles 90.00, 90.00, 90.00 degrees
With the nearest neighbours (Å) after each atom.
Space group P4mm (No. 99)
Unique sites:
Li (0.0000, 0.0000, 0.0000) x1  6 Au 2.70-3.01, 4 Hg 2.87
Hg (0.5000, 0.5000, 0.7408) x1  6 Au 2.77-2.95, 4 Li 2.87
Au (0.0000, 0.0000, 0.4729) x1  2 Li 2.70-3.01, 4 Au 2.84, 4 Hg 2.90
Au (0.5000, 0.5000, 0.2252) x1  2 Hg 2.77-2.95, 4 Li 2.78, 4 Au 2.84

The value obtained for the volume is 69.2 Å³/cell. As for the raw total energy: -52.516 eV/atom. Its calculated density is 14.4 g/cm³. The calculation puts the density of states at the Fermi level at 1.20 states/eV/cell. The calculation puts the total magnetization at 0.0 μB/f.u.


# 4
Density functional theory data (SCAN) for a PBEsol-optimized structure of Mg2BeTe.

Cell lengths 3.8755, 4.5417, 4.6254 Å; angles 90.00, 90.00, 90.00 degrees
With the nearest neighbours (Å) after each atom.
Space group Pmmm (No. 47)
Unique sites:
Mg (0.0000, 0.0000, 0.0000) x1  4 Te 2.99, 4 Be 3.02, 4 Mg 3.24
Mg (0.0000, 0.5000, 0.5000) x1  4 Be 2.99, 4 Te 3.02, 4 Mg 3.24
Be (0.5000, 0.0000, 0.5000) x1  8 Mg 2.99-3.02, 4 Te 3.24
Te (0.5000, 0.5000, 0.0000) x1  8 Mg 2.99-3.02, 4 Be 3.24

The value obtained for the volume is 81.4 Å³/cell. As for the formation energy without anion corrections: 0.192 eV per atom. As for the energy above the lowest structure with this stoichiometry: 0.013 eV per atom. Its calculated density is 3.8 g/cm³. The calculation puts the density of states at the Fermi level at 1.63 states/eV/cell. The calculation puts the total magnetization at 0.0 μB/f.u.


# 5
Density functional theory data (SCAN) for a PBEsol-optimized structure of LaTaMo2.

Cell lengths 3.2250, 4.8705, 9.4134 Å; angles 90.00, 90.00, 90.00 degrees
With the nearest neighbours (Å) after each atom.
Space group Cmmm (No. 65)
Unique sites:
La (0.0000, 0.0000, 0.0000) x2  6 La 2.92-3.22, 4 Mo 3.05
Ta (0.0000, 0.0000, 0.5000) x2  4 Mo 2.66, 4 Ta 2.92
Mo (0.0000, 0.5000, 0.2755) x4  2 Ta 2.66, 4 Mo 2.92

The value obtained for the volume is 147.9 Å³/cell. As for the energy above the lowest structure with this stoichiometry: 0.000 eV per atom. Its calculated density is 11.5 g/cm³. The calculation puts the density of states at the Fermi level at 7.21 states/eV/cell. The calculation puts the total magnetization at 0.0 μB/f.u.


# 6
Density functional theory data (SCAN) for a PBEsol-optimized structure of ErTi2Ga4.

Cell lengths 6.6410, 6.6410, 5.3684 Å; angles 90.00, 90.00, 90.00 degrees
With the nearest neighbours (Å) after each atom.
Space group I4/mmm (No. 139)
Unique sites:
Er (0.0000, 0.0000, 0.0000) x2  4 Ga 2.85
Ti (0.0000, 0.5000, 0.2500) x4  2 Ti 2.68, 8 Ga 2.75
Ga (0.1971, 0.1971, 0.5000) x8  4 Ga 2.62-2.86, 4 Ti 2.75, 1 Er 2.85

The value obtained for the volume is 236.8 Å³/cell. As for the raw total energy: -21.753 eV/atom. Its calculated density is 7.6 g/cm³. The calculation puts the density of states at the Fermi level at 10.07 states/eV/cell. The calculation puts the total magnetization at 0.0 μB/f.u.


# 7
Density functional theory data (SCAN) for a PBEsol-optimized structure of InTe2P.

Cell lengths 3.9586, 3.9586, 14.6770 Å; angles 90.00, 90.00, 90.00 degrees
With the nearest neighbours (Å) after each atom.
Space group I-4m2 (No. 119)
Unique sites:
In (0.0000, 0.0000, 0.0000) x2  4 Te 2.80
Te (0.0000, 0.0000, 0.5000) x2  4 In 2.80
Te (0.0000, 0.5000, 0.7500) x2  4 P 2.80
P (0.0000, 0.5000, 0.2500) x2  4 Te 2.80

The value obtained for the volume is 230.0 Å³/cell. As for the formation energy without anion corrections: 0.320 eV per atom. As for the energy above the lowest structure with this stoichiometry: 0.254 eV per atom. Its calculated density is 5.8 g/cm³. The calculation puts the density of states at the Fermi level at 3.31 states/eV/cell. The calculation puts the total magnetization at 0.0 μB/f.u.


# 8
Density functional theory data (SCAN) for a PBEsol-optimized structure of ScP2IO.

Cell lengths 5.0292, 5.0292, 3.9115 Å; angles 90.00, 90.00, 90.00 degrees
With the nearest neighbours (Å) after each atom.
Space group P4/mmm (No. 123)
Unique sites:
Sc (0.0000, 0.0000, 0.0000) x1  8 P 3.19, 4 O 3.56
P (0.0000, 0.5000, 0.5000) x2  2 I 2.51
I (0.5000, 0.5000, 0.5000) x1  2 O 1.96
O (0.5000, 0.5000, 0.0000) x1  2 I 1.96

The value obtained for the volume is 98.9 Å³/cell. As for the formation energy without anion corrections: 0.319 eV per atom. Its calculated density is 4.2 g/cm³. The calculation puts the density of states at the Fermi level at 0.99 states/eV/cell. The calculation puts the total magnetization at 0.0 μB/f.u.


# 9
Density functional theory data (SCAN) for a PBEsol-optimized structure of TlSiC3.

Cell lengths 3.8715, 3.8715, 3.8715 Å; angles 90.00, 90.00, 90.00 degrees
With the nearest neighbours (Å) after each atom.
Space group Pm-3m (No. 221)
Unique sites:
Tl (0.0000, 0.0000, 0.0000) x1  12 C 2.74
Si (0.5000, 0.5000, 0.5000) x1  6 C 1.94
C (0.0000, 0.5000, 0.5000) x3  2 Si 1.94

The value obtained for the volume is 58.0 Å³/cell. As for the formation energy without anion corrections: 2.125 eV per atom. As for the energy above the lowest structure with this stoichiometry: 0.000 eV per atom. Its calculated density is 7.7 g/cm³. The calculation puts the density of states at the Fermi level at 2.33 states/eV/cell. The calculation puts the total magnetization at 0.0 μB/f.u.


# 10
Density functional theory data (SCAN) for a PBEsol-optimized structure of CdSnOF2.

Cell lengths 4.2812, 4.2812, 4.3412 Å; angles 90.00, 90.00, 90.00 degrees
With the nearest neighbours (Å) after each atom.
Space group P4/mmm (No. 123)
Unique sites:
Cd (0.0000, 0.0000, 0.0000) x1  4 F 2.14, 2 O 2.17
Sn (0.5000, 0.5000, 0.5000) x1  4 O 3.03, 8 F 3.05
O (0.0000, 0.0000, 0.5000) x1  2 Cd 2.17
F (0.0000, 0.5000, 0.0000) x2  2 Cd 2.14

The value obtained for the volume is 79.6 Å³/cell. As for the formation energy without anion corrections: -1.407 eV per atom. Its calculated density is 6.0 g/cm³. The calculation puts the total magnetization at 0.0 μB/f.u.


# 11
Density functional theory data (SCAN) for a PBEsol-optimized structure of Cd2CoRh.

Cell lengths 3.9720, 3.9720, 7.7850 Å; angles 90.00, 90.00, 90.00 degrees
With the nearest neighbours (Å) after each atom.
Space group I-4m2 (No. 119)
Unique sites:
Cd (0.0000, 0.0000, 0.0000) x2  4 Cd 2.78, 4 Rh 2.78, 4 Co 2.81
Cd (0.0000, 0.5000, 0.2500) x2  4 Cd 2.78, 4 Co 2.78, 4 Rh 2.81
Co (0.0000, 0.0000, 0.5000) x2  8 Cd 2.78-2.81, 4 Rh 2.78
Rh (0.0000, 0.5000, 0.7500) x2  8 Cd 2.78-2.81, 4 Co 2.78

The value obtained for the volume is 122.8 Å³/cell. As for the raw total energy: -27.819 eV/atom. Its calculated density is 10.5 g/cm³. The calculation puts the density of states at the Fermi level at 3.11 states/eV/cell. The calculation puts the total magnetization at 2.1 μB/f.u.


# 12
Density functional theory data (SCAN) for a PBEsol-optimized structure of LaRe2Mo.

Cell lengths 6.4983, 6.4983, 6.4983 Å; angles 90.00, 90.00, 90.00 degrees
With the nearest neighbours (Å) after each atom.
Space group F-43m (No. 216)
Unique sites:
La (0.0000, 0.0000, 0.0000) x4  4 Mo 2.81, 4 Re 2.81
Re (0.0000, 0.0000, 0.5000) x4  4 Mo 2.81, 4 Re 2.81
Re (0.2500, 0.2500, 0.7500) x4  4 La 2.81, 4 Re 2.81
Mo (0.2500, 0.2500, 0.2500) x4  4 La 2.81, 4 Re 2.81

The value obtained for the volume is 274.4 Å³/cell. As for the energy above the lowest structure with this stoichiometry: 0.198 eV per atom. Its calculated density is 14.7 g/cm³. The calculation puts the density of states at the Fermi level at 5.30 states/eV/cell. The calculation puts the total magnetization at 0.0 μB/f.u.